Record 1
DFT (GGA-PBE) results for crystalline Dy3HoPb12 at its relaxed geometry.

Unit cell a=4.9121 b=4.9121 c=19.2369 alpha=90.00 beta=90.00 gamma=90.00
Atoms (fractional coordinates):
Dy 0.0000 0.0000 0.2499
Dy 0.0000 0.0000 0.5000
Dy 0.0000 0.0000 0.7501
Pb 0.5000 0.5000 0.7502
Pb 0.5000 0.0000 0.8753
Pb 0.0000 0.5000 0.3749
Pb 0.5000 0.0000 0.6251
Pb 0.5000 0.5000 0.0000
Pb 0.0000 0.5000 0.1247
Pb 0.5000 0.0000 0.1247
Pb 0.0000 0.5000 0.6251
Pb 0.5000 0.5000 0.2498
Pb 0.5000 0.0000 0.3749
Pb 0.5000 0.5000 0.5000
Pb 0.0000 0.5000 0.8753
Ho 0.0000 0.0000 0.0000

As for the total magnetization: 0.0 μB per cell. The uncorrected energy is -4.207 eV/atom. The value obtained for the energy of formation is -277 meV/atom. Its symmetry is No. 123.


Record 2
DFT (GGA-PBE) results for crystalline DyHo3Pb at its relaxed geometry.

Unit cell a=8.5253 b=8.9632 c=9.4554 alpha=121.66 beta=90.00 gamma=90.00
Atoms (fractional coordinates):
Ho 0.0632 0.2861 0.0731
Ho 0.3076 0.5769 0.0388
Ho 0.4368 0.2861 0.5731
Ho 0.6924 0.4231 0.9612
Ho 0.5853 0.9115 0.2051
Ho 0.1924 0.5769 0.5388
Ho 0.0853 0.0885 0.2949
Ho 0.8076 0.4231 0.4612
Ho 0.9147 0.9115 0.7051
Ho 0.5632 0.7139 0.4269
Ho 0.4147 0.0885 0.7949
Ho 0.9368 0.7139 0.9269
Dy 0.9373 0.7105 0.2877
Dy 0.5627 0.7105 0.7877
Dy 0.4373 0.2895 0.2123
Dy 0.0627 0.2895 0.7123
Pb 0.7500 0.0966 0.5474
Pb 0.2500 0.9034 0.4526
Pb 0.2500 0.9034 0.9526
Pb 0.7500 0.0966 0.0474

As for the total magnetization: 0.0 μB per cell. The uncorrected energy is -4.551 eV/atom. The value obtained for the energy of formation is -142 meV/atom. Its symmetry is No. 14.


Record 3
DFT (GGA-PBE) results for crystalline DyHoPb2 at its relaxed geometry.

Unit cell a=3.5461 b=3.5461 c=8.9081 alpha=90.00 beta=90.00 gamma=90.00
Atoms (fractional coordinates):
Pb 0.0000 0.0000 0.7510
Pb 0.0000 0.0000 0.2490
Dy 0.5000 0.5000 0.5000
Ho 0.5000 0.5000 0.0000

As for the total magnetization: 0.0 μB per cell. The uncorrected energy is -4.573 eV/atom. The value obtained for the energy of formation is -424 meV/atom. Its symmetry is No. 123.


Record 4
DFT (GGA-PBE) results for crystalline Dy5HoPb6 at its relaxed geometry.

Unit cell a=5.1205 b=8.8417 c=9.0612 alpha=60.80 beta=72.94 gamma=90.01
Atoms (fractional coordinates):
Dy 0.6662 0.1662 0.6675
Dy 0.3338 0.8338 0.3325
Dy 0.6669 0.6667 0.6667
Dy 0.0000 0.5000 0.0000
Dy 0.3331 0.3333 0.3333
Pb 0.8333 0.5836 0.3330
Pb 0.1667 0.9166 0.6670
Pb 0.8333 0.0834 0.3330
Pb 0.5000 0.7503 0.0000
Pb 0.5000 0.2497 0.0000
Pb 0.1667 0.4164 0.6670
Ho 0.0000 0.0000 0.0000

As for the total magnetization: 0.0 μB per cell. The calculation puts the polymorph energy (0 for the lowest one) at 0.094 eV/f.u. The uncorrected energy is -4.576 eV/atom. The value obtained for the energy of formation is -423 meV/atom. Its symmetry is No. 12.


Record 5
DFT (GGA-PBE) results for crystalline Dy3Ho2Pb4 at its relaxed geometry.

Unit cell a=4.9509 b=6.7991 c=8.5366 alpha=104.57 beta=106.86 gamma=90.00
Atoms (fractional coordinates):
Pb 0.5095 0.2828 0.0190
Pb 0.4905 0.7172 0.9810
Pb 0.2473 0.3090 0.4945
Pb 0.7527 0.6910 0.5055
Ho 0.3305 0.9318 0.6610
Ho 0.6695 0.0682 0.3390
Dy 0.1137 0.5869 0.2275
Dy 0.8863 0.4131 0.7725
Dy 0.0000 0.0000 0.0000

As for the total magnetization: 0.0 μB per cell. The uncorrected energy is -4.622 eV/atom. The value obtained for the energy of formation is -422 meV/atom. Its symmetry is No. 12.


Record 6
DFT (GGA-PBE) results for crystalline Dy2HoPb at its relaxed geometry.

Unit cell a=4.8470 b=4.8427 c=4.8427 alpha=90.00 beta=90.00 gamma=90.00
Atoms (fractional coordinates):
Dy 0.0000 0.0000 0.5000
Dy 0.0000 0.5000 0.0000
Ho 0.5000 0.0000 0.0000
Pb 0.5000 0.5000 0.5000

As for the total magnetization: 0.0 μB per cell. The calculation puts the polymorph energy (0 for the lowest one) at 0.000 eV/f.u. The uncorrected energy is -4.648 eV/atom. The value obtained for the energy of formation is -275 meV/atom. Its symmetry is No. 123.


Record 7
DFT (GGA-PBE) results for crystalline DyHo3Pb12 at its relaxed geometry.

Unit cell a=4.9100 b=4.9100 c=19.2184 alpha=90.00 beta=90.00 gamma=90.00
Atoms (fractional coordinates):
Pb 0.5000 0.0000 0.1253
Pb 0.0000 0.5000 0.8747
Pb 0.5000 0.5000 0.5000
Pb 0.0000 0.5000 0.3751
Pb 0.5000 0.0000 0.3751
Pb 0.5000 0.5000 0.0000
Pb 0.0000 0.5000 0.1253
Pb 0.5000 0.0000 0.8747
Pb 0.5000 0.5000 0.7498
Pb 0.0000 0.5000 0.6249
Pb 0.5000 0.5000 0.2502
Pb 0.5000 0.0000 0.6249
Ho 0.0000 0.0000 0.7500
Ho 0.0000 0.0000 0.5000
Ho 0.0000 0.0000 0.2500
Dy 0.0000 0.0000 0.0000

As for the total magnetization: 0.0 μB per cell. The uncorrected energy is -4.195 eV/atom. The value obtained for the energy of formation is -267 meV/atom. Its symmetry is No. 123.


Record 8
DFT (GGA-PBE) results for crystalline Dy3HoPb3 at its relaxed geometry.

Unit cell a=9.1761 b=9.1761 c=8.0993 alpha=55.50 beta=55.50 gamma=60.00
Atoms (fractional coordinates):
Pb 0.4705 0.0836 0.7594
Pb 0.5295 0.9164 0.2406
Pb 0.3135 0.5295 0.2406
Pb 0.0836 0.6865 0.7594
Pb 0.6865 0.4705 0.7594
Pb 0.9164 0.3135 0.2406
Dy 0.8331 0.0887 0.7415
Dy 0.1669 0.9113 0.2585
Dy 0.9113 0.6633 0.2585
Dy 0.6633 0.1669 0.2585
Dy 0.0887 0.3367 0.7415
Dy 0.3367 0.8331 0.7415
Ho 0.3308 0.3308 0.0076
Ho 0.6692 0.6692 0.9924

As for the total magnetization: 0.0 μB per cell. The uncorrected energy is -4.566 eV/atom. The value obtained for the energy of formation is -351 meV/atom. Its symmetry is No. 148.


Record 9
DFT (GGA-PBE) results for crystalline DyHoPb2 at its relaxed geometry.

Unit cell a=9.2879 b=5.8442 c=10.4281 alpha=95.25 beta=109.06 gamma=115.07
Atoms (fractional coordinates):
Pb 0.6874 0.4391 0.3750
Pb 0.4387 0.1909 0.8749
Pb 0.8125 0.0641 0.6250
Pb 0.5613 0.8091 0.1251
Pb 0.1875 0.9359 0.3750
Pb 0.3126 0.5609 0.6250
Pb 0.9363 0.6841 0.8749
Pb 0.0637 0.3159 0.1251
Ho 0.4380 0.6880 0.3760
Ho 0.8128 0.5628 0.1256
Ho 0.5620 0.3120 0.6240
Ho 0.1872 0.4372 0.8744
Dy 0.9370 0.1870 0.3740
Dy 0.6878 0.9378 0.8757
Dy 0.0630 0.8130 0.6260
Dy 0.3122 0.0622 0.1243

As for the total magnetization: 0.0 μB per cell. The uncorrected energy is -4.582 eV/atom. The value obtained for the energy of formation is -433 meV/atom. Its symmetry is No. 15.


Record 10
DFT (GGA-PBE) results for crystalline DyHoPb6 at its relaxed geometry.

Unit cell a=4.8737 b=4.8737 c=9.7521 alpha=90.00 beta=90.00 gamma=90.00
Atoms (fractional coordinates):
Pb 0.5000 0.0000 0.7503
Pb 0.5000 0.0000 0.2497
Pb 0.0000 0.5000 0.2497
Pb 0.5000 0.5000 0.0000
Pb 0.0000 0.5000 0.7503
Pb 0.5000 0.5000 0.5000
Ho 0.0000 0.0000 0.0000
Dy 0.0000 0.0000 0.5000

As for the total magnetization: 0.0 μB per cell. The uncorrected energy is -4.195 eV/atom. The value obtained for the energy of formation is -267 meV/atom. Its symmetry is No. 123.


Record 11
DFT (GGA-PBE) results for crystalline Dy3HoPb4 at its relaxed geometry.

Unit cell a=6.4044 b=6.4033 c=11.1357 alpha=90.00 beta=90.00 gamma=90.00
Atoms (fractional coordinates):
Dy 0.1895 0.7499 0.2500
Dy 0.1895 0.7499 0.7500
Dy 0.9396 0.0002 0.5000
Dy 0.4396 0.9998 0.0000
Dy 0.6895 0.2501 0.2500
Dy 0.6895 0.2501 0.7500
Pb 0.9391 0.5002 0.5000
Pb 0.1896 0.2500 0.7501
Pb 0.4391 0.4998 0.0000
Pb 0.9394 0.0002 0.0000
Pb 0.4394 0.9998 0.5000
Pb 0.6896 0.7500 0.7499
Pb 0.6896 0.7500 0.2501
Pb 0.1896 0.2500 0.2499
Ho 0.9390 0.5003 0.0000
Ho 0.4390 0.4997 0.5000

As for the total magnetization: 0.0 μB per cell. The uncorrected energy is -4.592 eV/atom. The value obtained for the energy of formation is -440 meV/atom. Its symmetry is No. 53.


Record 12
DFT (GGA-PBE) results for crystalline Dy3Ho12Pb5 at its relaxed geometry.

Unit cell a=15.8468 b=15.8468 c=15.8468 alpha=109.47 beta=109.47 gamma=109.47
Atoms (fractional coordinates):
Dy 0.3750 0.6250 0.2500
Dy 0.6250 0.2500 0.3750
Dy 0.7500 0.8750 0.6250
Dy 0.2500 0.1250 0.3750
Dy 0.6250 0.3750 0.7500
Dy 0.1250 0.8750 0.7500
Dy 0.7500 0.3750 0.1250
Dy 0.8750 0.1250 0.2500
Dy 0.2500 0.6250 0.8750
Dy 0.3750 0.7500 0.6250
Dy 0.1250 0.2500 0.8750
Dy 0.8750 0.7500 0.1250
Pb 0.5000 0.5000 0.0000
Pb 0.0000 0.0000 0.0000
Pb 0.6250 0.8750 0.2500
Pb 0.3750 0.2500 0.1250
Pb 0.5000 0.5000 0.5000
Pb 0.0000 0.5000 0.0000
Pb 0.1250 0.7500 0.3750
Pb 0.5000 0.0000 0.0000
Pb 0.2500 0.8750 0.1250
Pb 0.8750 0.2500 0.6250
Pb 0.7500 0.1250 0.8750
Pb 0.7500 0.6250 0.3750
Pb 0.8750 0.6250 0.7500
Pb 0.5000 0.0000 0.5000
Pb 0.0000 0.5000 0.5000
Pb 0.0000 0.0000 0.5000
Pb 0.1250 0.3750 0.2500
Pb 0.2500 0.3750 0.6250
Pb 0.3750 0.1250 0.7500
Pb 0.6250 0.7500 0.8750
Ho 0.8301 0.9012 0.2777
Ho 0.2223 0.6699 0.0988
Ho 0.2777 0.4012 0.8301
Ho 0.7777 0.3301 0.9012
Ho 0.7777 0.4477 0.3765
Ho 0.2777 0.8765 0.9477
Ho 0.9477 0.5712 0.1699
Ho 0.5712 0.6235 0.4012
Ho 0.0988 0.1699 0.2223
Ho 0.1235 0.4012 0.0712
Ho 0.1235 0.7223 0.5523
Ho 0.8301 0.9288 0.0523
Ho 0.0712 0.9012 0.1235
Ho 0.9288 0.8301 0.5523
Ho 0.4012 0.2777 0.3301
Ho 0.6699 0.4477 0.5712
Ho 0.3765 0.9477 0.7777
Ho 0.3301 0.7777 0.4012
Ho 0.4477 0.6699 0.0712
Ho 0.9012 0.0712 0.6235
Ho 0.8765 0.2777 0.4477
Ho 0.0988 0.9288 0.3765
Ho 0.3765 0.4288 0.0988
Ho 0.5712 0.9477 0.6699
Ho 0.5988 0.7223 0.6699
Ho 0.7223 0.1235 0.0523
Ho 0.0523 0.4288 0.8301
Ho 0.5523 0.2223 0.1235
Ho 0.5988 0.8765 0.4288
Ho 0.4288 0.3765 0.5988
Ho 0.5523 0.3301 0.9288
Ho 0.1699 0.0988 0.7223
Ho 0.4288 0.0523 0.3301
Ho 0.6235 0.0523 0.2223
Ho 0.2223 0.5523 0.6235
Ho 0.4012 0.1235 0.5712
Ho 0.9012 0.8301 0.7777
Ho 0.3301 0.5523 0.4288
Ho 0.8765 0.5988 0.9288
Ho 0.4477 0.7777 0.8765
Ho 0.9288 0.0988 0.8765
Ho 0.1699 0.0712 0.9477
Ho 0.0523 0.6235 0.7223
Ho 0.7223 0.5988 0.1699
Ho 0.6235 0.5712 0.9012
Ho 0.9477 0.3765 0.2777
Ho 0.6699 0.2223 0.5988
Ho 0.0712 0.1699 0.4477

As for the total magnetization: 0.0 μB per cell. The uncorrected energy is -3.920 eV/atom. The value obtained for the energy of formation is 444 meV/atom. Its symmetry is No. 230.


Record 13
DFT (GGA-PBE) results for crystalline DyHo5Pb4 at its relaxed geometry.

Unit cell a=3.6511 b=9.7417 c=8.9784 alpha=92.42 beta=101.73 gamma=90.00
Atoms (fractional coordinates):
Ho 0.5000 0.5000 0.0000
Ho 0.8450 0.2447 0.6899
Ho 0.1550 0.7553 0.3101
Ho 0.8085 0.6121 0.6171
Ho 0.1915 0.3879 0.3829
Pb 0.6822 0.0668 0.3645
Pb 0.9746 0.7480 0.9493
Pb 0.3178 0.9332 0.6355
Pb 0.0254 0.2520 0.0507
Dy 0.5000 0.0000 0.0000

As for the total magnetization: 0.0 μB per cell. The uncorrected energy is -4.425 eV/atom. The value obtained for the energy of formation is -192 meV/atom. Its symmetry is No. 12.


Record 14
DFT (GGA-PBE) results for crystalline DyHo3Pb5 at its relaxed geometry.

Unit cell a=6.5303 b=9.5226 c=9.5226 alpha=120.00 beta=90.00 gamma=90.00
Atoms (fractional coordinates):
Pb 0.7500 0.2892 0.2892
Pb 0.0000 0.3333 0.6667
Pb 0.7500 0.7108 0.0000
Pb 0.2500 0.2892 0.0000
Pb 0.2500 0.0000 0.2892
Pb 0.5000 0.6667 0.3333
Pb 0.7500 0.0000 0.7108
Pb 0.5000 0.3333 0.6667
Pb 0.0000 0.6667 0.3333
Pb 0.2500 0.7108 0.7108
Ho 0.2500 0.0000 0.6194
Ho 0.7500 0.6194 0.6194
Ho 0.7500 0.3806 0.0000
Ho 0.7500 0.0000 0.3806
Ho 0.2500 0.6194 0.0000
Ho 0.2500 0.3806 0.3806
Dy 0.0000 0.0000 0.0000
Dy 0.5000 0.0000 0.0000

As for the total magnetization: 0.0 μB per cell. The uncorrected energy is -4.486 eV/atom. The value obtained for the energy of formation is -388 meV/atom. Its symmetry is No. 193.


Record 15
DFT (GGA-PBE) results for crystalline Pm2Dy3Ho6Pb at its relaxed geometry.

Unit cell a=6.0888 b=6.0888 c=11.7177 alpha=94.99 beta=94.99 gamma=120.03
Atoms (fractional coordinates):
Dy 0.8326 0.1674 0.5000
Dy 0.5000 0.5000 0.5000
Dy 0.1674 0.8326 0.5000
Ho 0.2444 0.2444 0.7486
Ho 0.0826 0.4101 0.2502
Ho 0.4101 0.0826 0.2502
Ho 0.7556 0.7556 0.2514
Ho 0.5899 0.9174 0.7498
Ho 0.9174 0.5899 0.7498
Pb 0.0000 0.0000 0.0000
Pm 0.6661 0.3339 0.0000
Pm 0.3339 0.6661 0.0000

As for the total magnetization: 0.0 μB per cell. The uncorrected energy is -4.605 eV/atom. The value obtained for the energy of formation is -64 meV/atom. Its symmetry is No. 12.


Record 16
DFT (GGA-PBE) results for crystalline Pr2Dy3Ho6Pb at its relaxed geometry.

Unit cell a=6.1045 b=6.1045 c=11.7584 alpha=94.98 beta=94.98 gamma=120.02
Atoms (fractional coordinates):
Pr 0.6662 0.3338 0.0000
Pr 0.3338 0.6662 0.0000
Ho 0.0830 0.4098 0.2514
Ho 0.7567 0.7567 0.2524
Ho 0.4098 0.0830 0.2514
Ho 0.5902 0.9170 0.7486
Ho 0.9170 0.5902 0.7486
Ho 0.2433 0.2433 0.7476
Dy 0.1674 0.8326 0.5000
Dy 0.8326 0.1674 0.5000
Dy 0.5000 0.5000 0.5000
Pb 0.0000 0.0000 0.0000

As for the total magnetization: 0.0 μB per cell. The uncorrected energy is -4.613 eV/atom. The value obtained for the energy of formation is -68 meV/atom. Its symmetry is No. 12.


Record 17
DFT (GGA-PBE) results for crystalline DyHoPuPb at its relaxed geometry.

Unit cell a=5.4575 b=5.4575 c=5.4575 alpha=60.00 beta=60.00 gamma=60.00
Last column: magnetic moment on the atom in μB.
Atoms (fractional coordinates):
Ho 0.7500 0.7500 0.7500  0.55
Dy 0.5000 0.5000 0.5000  0.34
Pu 0.0000 0.0000 0.0000  5.62
Pb 0.2500 0.2500 0.2500  -0.02

As for the total magnetization: 7.1 μB per cell. The uncorrected energy is -6.799 eV/atom. The value obtained for the energy of formation is 6 meV/atom. Its symmetry is No. 216.


Record 18
DFT (GGA-PBE) results for crystalline Sm3Dy2Ho6Pb at its relaxed geometry.

Unit cell a=6.1185 b=6.1185 c=11.6621 alpha=95.05 beta=95.05 gamma=120.00
Atoms (fractional coordinates):
Dy 0.6660 0.3340 0.0000
Dy 0.3340 0.6660 0.0000
Ho 0.9190 0.5909 0.7544
Ho 0.4091 0.0810 0.2456
Ho 0.5909 0.9190 0.7544
Ho 0.2470 0.2470 0.7528
Ho 0.0810 0.4091 0.2456
Ho 0.7530 0.7530 0.2472
Sm 0.1675 0.8325 0.5000
Sm 0.5000 0.5000 0.5000
Sm 0.8325 0.1675 0.5000
Pb 0.0000 0.0000 0.0000

As for the total magnetization: 0.0 μB per cell. The uncorrected energy is -4.595 eV/atom. The value obtained for the energy of formation is -51 meV/atom. Its symmetry is No. 12.